No. 1
# Ho4CdRh2Au

Ho4CdRh2Au after structural relaxation (PBE-GGA, the Alexandria database).

Geometry as POSCAR:
```
Ho4CdRh2Au
1.0
2.497 1.442 8.140
-2.497 1.442 8.140
0.000 -2.884 8.140
Ho Cd Rh Au
4 1 2 1
Direct
0.122 0.122 0.122 Ho
0.372 0.372 0.372 Ho
0.628 0.628 0.628 Ho
0.878 0.878 0.878 Ho
0.500 0.500 0.500 Cd
0.246 0.246 0.246 Rh
0.754 0.754 0.754 Rh
0.000 0.000 0.000 Au
```

Calculated values
As for the formation energy: -0.700 eV per atom. For the magnetic moment, the calculation gives 0.00 μB/cell. As for the symmetry: No. 166.

No. 2
# Ho4CdRhAu2

Ho4CdRhAu2 after structural relaxation (PBE-GGA, the Alexandria database).

Geometry as POSCAR:
```
Ho4CdRhAu2
1.0
2.530 1.461 8.233
-2.530 1.461 8.233
0.000 -2.922 8.233
Ho Cd Rh Au
4 1 1 2
Direct
0.116 0.116 0.116 Ho
0.368 0.368 0.368 Ho
0.632 0.632 0.632 Ho
0.884 0.884 0.884 Ho
0.500 0.500 0.500 Cd
0.000 0.000 0.000 Rh
0.241 0.241 0.241 Au
0.759 0.759 0.759 Au
```

Calculated values
As for the formation energy: -0.740 eV per atom. For the magnetic moment, the calculation gives 0.00 μB/cell. As for the symmetry: No. 166.

No. 3
# HoScCdAu

HoScCdAu after structural relaxation (PBE-GGA, the Alexandria database).

Geometry as POSCAR:
```
HoScCdAu
1.0
0.000 3.562 3.562
3.562 0.000 3.562
3.562 3.562 0.000
Ho Sc Cd Au
1 1 1 1
Direct
0.000 0.000 0.000 Ho
0.500 0.500 0.500 Sc
0.250 0.250 0.250 Cd
0.750 0.750 0.750 Au
```

Calculated values
As for the formation energy: -0.532 eV per atom. For the magnetic moment, the calculation gives 0.00 μB/cell. As for the symmetry: No. 216.

No. 4
# HoScCdAu

HoScCdAu after structural relaxation (PBE-GGA, the Alexandria database).

Geometry as POSCAR:
```
HoScCdAu
1.0
3.575 0.000 0.000
0.000 3.575 0.000
0.000 0.000 7.068
Ho Sc Cd Au
1 1 1 1
Direct
0.000 0.000 0.000 Ho
0.000 0.000 0.526 Sc
0.500 0.500 0.284 Cd
0.500 0.500 0.744 Au
```

Calculated values
As for the formation energy: -0.567 eV per atom. For the magnetic moment, the calculation gives 0.00 μB/cell. As for the symmetry: No. 99.

No. 5
# HoCdSnAu

HoCdSnAu after structural relaxation (PBE-GGA, the Alexandria database).

Geometry as POSCAR:
```
HoCdSnAu
1.0
0.000 3.584 3.584
3.584 0.000 3.584
3.584 3.584 0.000
Ho Cd Sn Au
1 1 1 1
Direct
0.000 0.000 0.000 Ho
0.500 0.500 0.500 Cd
0.750 0.750 0.750 Sn
0.250 0.250 0.250 Au
```

Calculated values
As for the formation energy: -0.462 eV per atom. For the magnetic moment, the calculation gives 0.00 μB/cell. As for the symmetry: No. 216.

No. 6
# SrHoCdAu

SrHoCdAu after structural relaxation (PBE-GGA, the Alexandria database).

Geometry as POSCAR:
```
SrHoCdAu
1.0
0.000 3.777 3.777
3.777 0.000 3.777
3.777 3.777 0.000
Sr Ho Cd Au
1 1 1 1
Direct
0.000 0.000 0.000 Sr
0.500 0.500 0.500 Ho
0.250 0.250 0.250 Cd
0.750 0.750 0.750 Au
```

Calculated values
As for the formation energy: -0.457 eV per atom. For the magnetic moment, the calculation gives 0.00 μB/cell. As for the symmetry: No. 216.